[1]
! TaAlTeI2 (SCAN, single point on PBEsol structure); values from VASP
&SYSTEM
  ibrav = 0, nat = 5, ntyp = 4
/
ATOMIC_SPECIES
Ta 180.95 Ta.upf
Al 26.98 Al.upf
Te 127.60 Te.upf
I 126.90 I.upf
ATOMIC_POSITIONS angstrom
Ta 0.000 0.000 0.000
Al 2.753 2.753 2.677
Te 0.000 0.000 2.677
I 0.000 2.753 0.000
I 2.753 0.000 0.000
CELL_PARAMETERS angstrom
5.507 0.000 0.000
0.000 5.507 0.000
0.000 0.000 5.354
! Uncorrected energy in eV/cell: -182.914
! Total magnetization in μB/f.u.: 1.7
! E_form (uncorrected) in eV per atom: 0.43
! Space-group type: P4/mmm
! D(E_F) in states/eV per cell: 2.685

[2]
! CuOsPt (SCAN, single point on PBEsol structure); values from VASP
&SYSTEM
  ibrav = 0, nat = 3, ntyp = 3
/
ATOMIC_SPECIES
Cu 63.55 Cu.upf
Os 190.23 Os.upf
Pt 195.08 Pt.upf
ATOMIC_POSITIONS angstrom
Cu 0.000 0.000 0.000
Os 0.000 1.558 4.373
Pt 1.349 0.779 2.154
CELL_PARAMETERS angstrom
2.698 0.000 0.000
-1.349 2.336 0.000
0.000 0.000 6.475
! Uncorrected energy in eV/cell: -156.778
! Formation energy from the elements in eV/atom: 0.165
! Total magnetization in μB/f.u.: 0.0
! Space-group type: P3m1
! D(E_F) in states/eV per cell: 2.553

[3]
! GaCN3 (SCAN, single point on PBEsol structure); values from VASP
&SYSTEM
  ibrav = 0, nat = 5, ntyp = 3
/
ATOMIC_SPECIES
Ga 69.72 Ga.upf
C 12.01 C.upf
N 14.01 N.upf
ATOMIC_POSITIONS angstrom
Ga 0.000 0.000 0.000
C 1.682 1.682 1.682
N 0.000 1.682 1.682
N 1.682 0.000 1.682
N 1.682 1.682 0.000
CELL_PARAMETERS angstrom
3.363 0.000 0.000
0.000 3.363 0.000
0.000 0.000 3.363
! Uncorrected energy in eV/cell: -42.266
! Total magnetization in μB/f.u.: 0.0
! E_form (uncorrected) in eV per atom: 2.41
! Space-group type: Pm-3m
! D(E_F) in states/eV per cell: 2.755

[4]
! CaBeRu4 (SCAN, single point on PBEsol structure); values from VASP
&SYSTEM
  ibrav = 0, nat = 6, ntyp = 3
/
ATOMIC_SPECIES
Ca 40.08 Ca.upf
Be 9.01 Be.upf
Ru 101.07 Ru.upf
ATOMIC_POSITIONS angstrom
Ca 0.000 0.000 0.000
Be 5.404 5.404 5.404
Ru 2.707 2.707 2.707
Ru 4.498 4.498 2.707
Ru 4.498 2.707 4.498
Ru 2.707 4.498 4.498
CELL_PARAMETERS angstrom
0.000 3.602 3.602
3.602 0.000 3.602
3.602 3.602 0.000
! Uncorrected energy in eV/cell: -150.789
! Formation energy from the elements in eV/atom: 0.422
! Total magnetization in μB/f.u.: 2.5
! Space-group type: F-43m
! D(E_F) in states/eV per cell: 4.361

[5]
! Re2SiTc (SCAN, single point on PBEsol structure); values from VASP
&SYSTEM
  ibrav = 0, nat = 4, ntyp = 3
/
ATOMIC_SPECIES
Re 186.21 Re.upf
Si 28.09 Si.upf
Tc 98.00 Tc.upf
ATOMIC_POSITIONS angstrom
Re 0.000 0.000 0.000
Re 1.442 1.442 1.776
Si 0.000 0.000 3.311
Tc 1.442 1.442 4.771
CELL_PARAMETERS angstrom
2.885 0.000 0.000
0.000 2.885 0.000
0.000 0.000 6.538
! Uncorrected energy in eV/cell: -188.096
! Total magnetization in μB/f.u.: 0.0
! E_form (uncorrected) in eV per atom: -0.21
! Space-group type: P4mm
! D(E_F) in states/eV per cell: 2.592

[6]
! KGaSe2O6 (SCAN, single point on PBEsol structure); values from VASP
&SYSTEM
  ibrav = 0, nat = 40, ntyp = 4
/
ATOMIC_SPECIES
K 39.10 K.upf
Ga 69.72 Ga.upf
Se 78.96 Se.upf
O 16.00 O.upf
ATOMIC_POSITIONS angstrom
K 1.647 1.339 0.505
K 5.812 4.017 4.180
K 9.107 1.339 3.171
K 13.271 4.017 6.847
Ga 1.908 4.017 5.093
Ga 5.551 1.339 1.418
Ga 9.367 4.017 5.934
Ga 13.011 1.339 2.258
Se 0.345 1.339 4.506
Se 3.373 1.339 3.663
Se 4.087 4.017 7.338
Se 7.114 4.017 0.830
Se 7.805 1.339 6.521
Se 10.832 1.339 0.013
Se 11.546 4.017 3.689
Se 14.573 4.017 2.846
O 0.480 0.011 5.592
O 0.480 2.667 5.592
O 1.349 4.017 3.174
O 2.395 4.017 7.001
O 3.322 0.017 4.771
O 3.322 2.661 4.771
O 4.137 2.695 1.095
O 4.137 5.339 1.095
O 5.064 1.339 3.325
O 6.111 1.339 6.849
O 6.979 2.689 1.917
O 6.979 5.345 1.917
O 7.940 0.011 5.435
O 7.940 2.667 5.435
O 8.808 4.017 0.502
O 9.855 4.017 4.026
O 10.781 0.017 6.257
O 10.781 2.661 6.257
O 11.597 2.695 2.581
O 11.597 5.339 2.581
O 12.523 1.339 0.350
O 13.570 1.339 4.178
O 14.438 2.689 1.759
O 14.438 5.345 1.759
CELL_PARAMETERS angstrom
14.919 0.000 0.000
0.000 5.356 0.000
0.000 0.000 7.351
! Uncorrected energy in eV/cell: -466.495
! Total magnetization in μB/f.u.: 0.0
! E_form (uncorrected) in eV per atom: -1.44
! Space-group type: Pnma
! D(E_F) in states/eV per cell: 0.000

[7]
! TlCo2Pt (SCAN, single point on PBEsol structure); values from VASP
&SYSTEM
  ibrav = 0, nat = 8, ntyp = 3
/
ATOMIC_SPECIES
Tl 204.38 Tl.upf
Co 58.93 Co.upf
Pt 195.08 Pt.upf
ATOMIC_POSITIONS angstrom
Tl 0.000 0.000 0.000
Tl 1.863 1.980 3.860
Co 0.000 0.000 3.746
Co 0.000 1.980 5.836
Co 1.863 0.000 1.976
Co 1.863 1.980 7.607
Pt 0.000 1.980 1.872
Pt 1.863 0.000 5.732
CELL_PARAMETERS angstrom
3.727 0.000 0.000
0.000 3.960 0.000
0.000 0.000 7.720
! Uncorrected energy in eV/cell: -351.939
! Formation energy from the elements in eV/atom: 0.298
! Total magnetization in μB/f.u.: 3.5
! Space-group type: Imm2
! Energy above the most stable polymorph in this dataset in meV per atom: 0
! D(E_F) in states/eV per cell: 5.139

[8]
! Nb2TeN (SCAN, single point on PBEsol structure); values from VASP
&SYSTEM
  ibrav = 0, nat = 16, ntyp = 3
/
ATOMIC_SPECIES
Nb 92.91 Nb.upf
Te 127.60 Te.upf
N 14.01 N.upf
ATOMIC_POSITIONS angstrom
Nb 1.576 1.576 1.576
Nb 1.576 1.576 4.729
Nb 1.576 4.729 1.576
Nb 1.576 4.729 4.729
Nb 4.729 1.576 1.576
Nb 4.729 1.576 4.729
Nb 4.729 4.729 1.576
Nb 4.729 4.729 4.729
Te 0.000 0.000 0.000
Te 0.000 3.152 3.152
Te 3.152 0.000 3.152
Te 3.152 3.152 0.000
N 0.000 0.000 3.152
N 0.000 3.152 0.000
N 3.152 0.000 0.000
N 3.152 3.152 3.152
CELL_PARAMETERS angstrom
6.305 0.000 0.000
0.000 6.305 0.000
0.000 0.000 6.305
! Uncorrected energy in eV/cell: -443.713
! Total magnetization in μB/f.u.: 0.7
! E_form (uncorrected) in eV per atom: 0.47
! Space-group type: Fm-3m
! D(E_F) in states/eV per cell: 15.612